(1)
{"formula": "LiNi2Sb", "functional": "PBE-GGA", "state": "relaxed", "dft_energy_ev_per_atom": -4.528, "total_magnetization_mub_per_fu": 0.25, "space_group": "No. 123", "lattice_angstrom": [[3.854, 0.000, 0.000], [0.000, 3.854, 0.000], [0.000, 0.000, 3.612]], "species": ["Li", "Ni", "Ni", "Sb"], "fractional_positions": [[0.000, 0.000, 0.000], [0.000, 0.500, 0.500], [0.500, 0.000, 0.500], [0.500, 0.500, 0.000]]}

(2)
{"formula": "RbTmScSe3", "functional": "PBE-GGA", "state": "relaxed", "total_magnetization_mub_per_fu": 0.04, "polymorph_energy_mev_per_atom": 0, "space_group": "No. 63", "lattice_angstrom": [[2.119, -7.726, 0.000], [2.119, 7.726, 0.000], [0.000, 0.000, 10.949]], "species": ["Rb", "Rb", "Tm", "Tm", "Sc", "Sc", "Se", "Se", "Se", "Se", "Se", "Se"], "fractional_positions": [[0.239, 0.761, 0.750], [0.761, 0.239, 0.250], [0.500, 0.500, 0.000], [0.500, 0.500, 0.500], [0.038, 0.962, 0.250], [0.962, 0.038, 0.750], [0.123, 0.877, 0.050], [0.123, 0.877, 0.450], [0.441, 0.559, 0.250], [0.559, 0.441, 0.750], [0.877, 0.123, 0.550], [0.877, 0.123, 0.950]]}

(3)
{"formula": "DyY2Er2Tm2Te2Pd2", "functional": "PBE-GGA", "state": "relaxed", "dft_energy_ev_per_atom": -5.611, "total_magnetization_mub_per_fu": 0.03, "space_group": "No. 44", "lattice_angstrom": [[-1.965, 7.827, 4.781], [1.965, -7.827, 4.781], [1.965, 7.827, -4.781]], "species": ["Dy", "Y", "Y", "Er", "Er", "Tm", "Tm", "Te", "Te", "Pd", "Pd"], "fractional_positions": [[0.000, 0.000, 0.000], [0.618, 0.262, 0.356], [0.906, 0.262, 0.644], [0.286, 0.415, 0.871], [0.544, 0.415, 0.129], [0.306, 0.623, 0.682], [0.941, 0.623, 0.318], [0.264, 0.764, 0.500], [0.661, 0.661, 0.000], [0.171, 0.932, 0.239], [0.692, 0.932, 0.761]]}

(4)
{"formula": "KGa4Au4", "functional": "PBE-GGA", "state": "relaxed", "dft_energy_ev_per_atom": -3.212, "space_group": "No. 137", "lattice_angstrom": [[6.702, 0.000, 0.000], [0.000, 6.702, 0.000], [0.000, 0.000, 8.694]], "species": ["K", "K", "Ga", "Ga", "Ga", "Ga", "Ga", "Ga", "Ga", "Ga", "Au", "Au", "Au", "Au", "Au", "Au", "Au", "Au"], "fractional_positions": [[0.250, 0.750, 0.250], [0.750, 0.250, 0.750], [0.005, 0.250, 0.127], [0.250, 0.005, 0.627], [0.250, 0.495, 0.627], [0.495, 0.250, 0.127], [0.505, 0.750, 0.873], [0.750, 0.505, 0.373], [0.750, 0.995, 0.373], [0.995, 0.750, 0.873], [0.041, 0.250, 0.430], [0.250, 0.041, 0.930], [0.250, 0.459, 0.930], [0.459, 0.250, 0.430], [0.541, 0.750, 0.570], [0.750, 0.541, 0.070], [0.750, 0.959, 0.070], [0.959, 0.750, 0.570]]}

(5)
{"formula": "Zr2ZnIn", "functional": "PBE-GGA", "state": "relaxed", "dft_energy_ev_per_atom": -5.081, "total_magnetization_mub_per_fu": 2.58, "space_group": "No. 216", "lattice_angstrom": [[7.008, 0.000, 0.000], [0.000, 7.008, 0.000], [0.000, 0.000, 7.008]], "species": ["Zr", "Zr", "Zr", "Zr", "Zr", "Zr", "Zr", "Zr", "Zn", "Zn", "Zn", "Zn", "In", "In", "In", "In"], "fractional_positions": [[0.000, 0.000, 0.000], [0.000, 0.500, 0.500], [0.250, 0.250, 0.250], [0.250, 0.750, 0.750], [0.500, 0.000, 0.500], [0.500, 0.500, 0.000], [0.750, 0.250, 0.750], [0.750, 0.750, 0.250], [0.250, 0.250, 0.750], [0.250, 0.750, 0.250], [0.750, 0.250, 0.250], [0.750, 0.750, 0.750], [0.000, 0.000, 0.500], [0.000, 0.500, 0.000], [0.500, 0.000, 0.000], [0.500, 0.500, 0.500]]}

(6)
{"formula": "CsCdFeTe3", "functional": "PBE-GGA", "state": "relaxed", "total_magnetization_mub_per_fu": 3.94, "polymorph_energy_mev_per_atom": 81, "space_group": "No. 63", "lattice_angstrom": [[2.096, -8.625, 0.000], [2.096, 8.625, 0.000], [0.000, 0.000, 11.440]], "species": ["Cs", "Cs", "Cd", "Cd", "Fe", "Fe", "Te", "Te", "Te", "Te", "Te", "Te"], "fractional_positions": [[0.245, 0.755, 0.750], [0.755, 0.245, 0.250], [0.459, 0.541, 0.250], [0.541, 0.459, 0.750], [0.000, 0.000, 0.000], [0.000, 0.000, 0.500], [0.068, 0.932, 0.250], [0.392, 0.608, 0.028], [0.392, 0.608, 0.472], [0.608, 0.392, 0.528], [0.608, 0.392, 0.972], [0.932, 0.068, 0.750]]}

(7)
{"formula": "KTmBeSe3", "functional": "PBE-GGA", "state": "relaxed", "dft_energy_ev_per_atom": -4.703, "total_magnetization_mub_per_fu": 0.01, "space_group": "No. 63", "lattice_angstrom": [[1.988, -7.439, 0.000], [1.988, 7.439, 0.000], [0.000, 0.000, 10.744]], "species": ["K", "K", "Tm", "Tm", "Be", "Be", "Se", "Se", "Se", "Se", "Se", "Se"], "fractional_positions": [[0.244, 0.756, 0.750], [0.756, 0.244, 0.250], [0.500, 0.500, 0.000], [0.500, 0.500, 0.500], [0.037, 0.963, 0.250], [0.963, 0.037, 0.750], [0.121, 0.879, 0.078], [0.121, 0.879, 0.422], [0.442, 0.558, 0.250], [0.558, 0.442, 0.750], [0.879, 0.121, 0.578], [0.879, 0.121, 0.922]]}

(8)
{"formula": "Nd2Gd", "functional": "PBE-GGA", "state": "relaxed", "total_magnetization_mub_per_fu": 0.01, "polymorph_energy_mev_per_atom": 1899, "space_group": "No. 227", "formation_enthalpy_0k_mev_per_atom": 2157.6, "lattice_angstrom": [[0.000, 6.475, 6.475], [6.475, 0.000, 6.475], [6.475, 6.475, 0.000]], "species": ["Nd", "Nd", "Nd", "Nd", "Gd", "Gd"], "fractional_positions": [[0.000, 0.000, 0.000], [0.000, 0.000, 0.500], [0.000, 0.500, 0.000], [0.500, 0.000, 0.000], [0.125, 0.125, 0.125], [0.875, 0.875, 0.875]]}

(9)
{"formula": "TbHg2", "functional": "PBE-GGA", "state": "relaxed", "total_magnetization_mub_per_fu": 1.78, "space_group": "No. 227", "formation_enthalpy_0k_mev_per_atom": 836.4, "lattice_angstrom": [[0.000, 6.849, 6.849], [6.849, 0.000, 6.849], [6.849, 6.849, 0.000]], "species": ["Tb", "Tb", "Hg", "Hg", "Hg", "Hg"], "fractional_positions": [[0.125, 0.125, 0.125], [0.875, 0.875, 0.875], [0.000, 0.000, 0.000], [0.000, 0.000, 0.500], [0.000, 0.500, 0.000], [0.500, 0.000, 0.000]]}

(10)
{"formula": "Sm3Gd3CoTe2", "functional": "PBE-GGA", "state": "relaxed", "total_magnetization_mub_per_fu": 0.02, "polymorph_energy_mev_per_atom": 34, "space_group": "No. 189", "lattice_angstrom": [[8.500, 0.000, 0.000], [-4.250, 7.361, 0.000], [0.000, 0.000, 3.908]], "species": ["Sm", "Sm", "Sm", "Gd", "Gd", "Gd", "Co", "Te", "Te"], "fractional_positions": [[0.000, 0.238, 0.000], [0.238, 0.000, 0.000], [0.762, 0.762, 0.000], [0.000, 0.594, 0.500], [0.406, 0.406, 0.500], [0.594, 0.000, 0.500], [0.000, 0.000, 0.500], [0.333, 0.667, 0.000], [0.667, 0.333, 0.000]]}

(11)
{"formula": "PrLuHg", "functional": "PBE-GGA", "state": "relaxed", "total_magnetization_mub_per_fu": 0.00, "space_group": "No. 216", "formation_enthalpy_0k_mev_per_atom": -94.6, "lattice_angstrom": [[7.282, 0.000, 0.000], [0.000, 7.282, 0.000], [0.000, 0.000, 7.282]], "species": ["Pr", "Pr", "Pr", "Pr", "Lu", "Lu", "Lu", "Lu", "Hg", "Hg", "Hg", "Hg"], "fractional_positions": [[0.000, 0.000, 0.000], [0.000, 0.500, 0.500], [0.500, 0.000, 0.500], [0.500, 0.500, 0.000], [0.000, 0.000, 0.500], [0.000, 0.500, 0.000], [0.500, 0.000, 0.000], [0.500, 0.500, 0.500], [0.250, 0.250, 0.750], [0.250, 0.750, 0.250], [0.750, 0.250, 0.250], [0.750, 0.750, 0.750]]}

(12)
{"formula": "Li3Sm3Te2O12", "functional": "PBE-GGA", "state": "relaxed", "dft_energy_ev_per_atom": -6.602, "total_magnetization_mub_per_fu": 0.00, "space_group": "No. 230", "lattice_angstrom": [[-6.235, 6.235, 6.235], [6.235, -6.235, 6.235], [6.235, 6.235, -6.235]], "species": ["Li", "Li", "Li", "Li", "Li", "Li", "Li", "Li", "Li", "Li", "Li", "Li", "Sm", "Sm", "Sm", "Sm", "Sm", "Sm", "Sm", "Sm", "Sm", "Sm", "Sm", "Sm", "Te", "Te", "Te", "Te", "Te", "Te", "Te", "Te", "O", "O", "O", "O", "O", "O", "O", "O", "O", "O", "O", "O", "O", "O", "O", "O", "O", "O", "O", "O", "O", "O", "O", "O", "O", "O", "O", "O", "O", "O", "O", "O", "O", "O", "O", "O", "O", "O", "O", "O", "O", "O", "O", "O", "O", "O", "O", "O"], "fractional_positions": [[0.125, 0.750, 0.875], [0.125, 0.875, 0.250], [0.250, 0.125, 0.875], [0.250, 0.625, 0.375], [0.375, 0.250, 0.625], [0.375, 0.625, 0.750], [0.625, 0.375, 0.250], [0.625, 0.750, 0.375], [0.750, 0.375, 0.625], [0.750, 0.875, 0.125], [0.875, 0.125, 0.750], [0.875, 0.250, 0.125], [0.125, 0.250, 0.375], [0.125, 0.375, 0.750], [0.250, 0.375, 0.125], [0.250, 0.875, 0.625], [0.375, 0.125, 0.250], [0.375, 0.750, 0.125], [0.625, 0.250, 0.875], [0.625, 0.875, 0.750], [0.750, 0.125, 0.375], [0.750, 0.625, 0.875], [0.875, 0.625, 0.250], [0.875, 0.750, 0.625], [0.000, 0.000, 0.000], [0.000, 0.000, 0.500], [0.000, 0.500, 0.000], [0.000, 0.500, 0.500], [0.500, 0.000, 0.000], [0.500, 0.000, 0.500], [0.500, 0.500, 0.000], [0.500, 0.500, 0.500], [0.024, 0.197, 0.117], [0.024, 0.328, 0.907], [0.079, 0.697, 0.672], [0.079, 0.883, 0.407], [0.093, 0.617, 0.421], [0.093, 0.976, 0.672], [0.117, 0.024, 0.197], [0.117, 0.593, 0.921], [0.172, 0.197, 0.579], [0.172, 0.476, 0.593], [0.197, 0.117, 0.024], [0.197, 0.579, 0.172], [0.303, 0.328, 0.921], [0.303, 0.476, 0.383], [0.328, 0.907, 0.024], [0.328, 0.921, 0.303], [0.383, 0.303, 0.476], [0.383, 0.579, 0.907], [0.407, 0.079, 0.883], [0.407, 0.828, 0.524], [0.421, 0.093, 0.617], [0.421, 0.828, 0.803], [0.476, 0.383, 0.303], [0.476, 0.593, 0.172], [0.524, 0.407, 0.828], [0.524, 0.617, 0.697], [0.579, 0.172, 0.197], [0.579, 0.907, 0.383], [0.593, 0.172, 0.476], [0.593, 0.921, 0.117], [0.617, 0.421, 0.093], [0.617, 0.697, 0.524], [0.672, 0.079, 0.697], [0.672, 0.093, 0.976], [0.697, 0.524, 0.617], [0.697, 0.672, 0.079], [0.803, 0.421, 0.828], [0.803, 0.883, 0.976], [0.828, 0.524, 0.407], [0.828, 0.803, 0.421], [0.883, 0.407, 0.079], [0.883, 0.976, 0.803], [0.907, 0.024, 0.328], [0.907, 0.383, 0.579], [0.921, 0.117, 0.593], [0.921, 0.303, 0.328], [0.976, 0.672, 0.093], [0.976, 0.803, 0.883]]}

(13)
{"formula": "Ac2Sb2Pt", "functional": "PBE-GGA", "state": "relaxed", "dft_energy_ev_per_atom": -5.460, "total_magnetization_mub_per_fu": 0.00, "space_group": "No. 139", "lattice_angstrom": [[6.037, 0.000, 0.000], [0.000, 6.037, 0.000], [0.000, 0.000, 8.946]], "species": ["Ac", "Ac", "Ac", "Ac", "Sb", "Sb", "Sb", "Sb", "Pt", "Pt"], "fractional_positions": [[0.000, 0.500, 0.000], [0.000, 0.500, 0.500], [0.500, 0.000, 0.000], [0.500, 0.000, 0.500], [0.000, 0.000, 0.205], [0.000, 0.000, 0.795], [0.500, 0.500, 0.295], [0.500, 0.500, 0.705], [0.000, 0.000, 0.500], [0.500, 0.500, 0.000]]}

(14)
{"formula": "LiInAg2", "functional": "PBE-GGA", "state": "relaxed", "dft_energy_ev_per_atom": -2.670, "space_group": "No. 194", "lattice_angstrom": [[4.670, 0.000, 0.000], [-2.335, 4.045, 0.000], [0.000, 0.000, 8.334]], "species": ["Li", "Li", "In", "In", "Ag", "Ag", "Ag", "Ag"], "fractional_positions": [[0.000, 0.000, 0.250], [0.000, 0.000, 0.750], [0.333, 0.667, 0.250], [0.667, 0.333, 0.750], [0.333, 0.667, 0.584], [0.333, 0.667, 0.916], [0.667, 0.333, 0.084], [0.667, 0.333, 0.416]]}

(15)
{"formula": "Sc4SiNiN2", "functional": "PBE-GGA", "state": "relaxed", "dft_energy_ev_per_atom": -7.721, "total_magnetization_mub_per_fu": 0.27, "space_group": "No. 187", "lattice_angstrom": [[3.178, 0.000, 0.000], [-1.589, 2.752, 0.000], [0.000, 0.000, 13.339]], "species": ["Sc", "Sc", "Sc", "Sc", "Si", "Ni", "N", "N"], "fractional_positions": [[0.000, 0.000, 0.147], [0.000, 0.000, 0.853], [0.667, 0.333, 0.337], [0.667, 0.333, 0.663], [0.000, 0.000, 0.500], [0.667, 0.333, 0.000], [0.333, 0.667, 0.248], [0.333, 0.667, 0.752]]}

(16)
{"formula": "CsPrCl3", "functional": "PBE-GGA", "state": "relaxed", "dft_energy_ev_per_atom": -4.167, "total_magnetization_mub_per_fu": 0.00, "space_group": "No. 62", "lattice_angstrom": [[8.091, 0.000, 0.000], [0.000, 11.183, 0.000], [0.000, 0.000, 7.696]], "species": ["Cs", "Cs", "Cs", "Cs", "Pr", "Pr", "Pr", "Pr", "Cl", "Cl", "Cl", "Cl", "Cl", "Cl", "Cl", "Cl", "Cl", "Cl", "Cl", "Cl"], "fractional_positions": [[0.044, 0.250, 0.008], [0.456, 0.750, 0.508], [0.544, 0.250, 0.492], [0.956, 0.750, 0.992], [0.000, 0.000, 0.500], [0.000, 0.500, 0.500], [0.500, 0.000, 0.000], [0.500, 0.500, 0.000], [0.003, 0.750, 0.484], [0.230, 0.511, 0.772], [0.230, 0.989, 0.772], [0.270, 0.011, 0.272], [0.270, 0.489, 0.272], [0.497, 0.250, 0.984], [0.503, 0.750, 0.016], [0.730, 0.511, 0.728], [0.730, 0.989, 0.728], [0.770, 0.011, 0.228], [0.770, 0.489, 0.228], [0.997, 0.250, 0.516]]}

(17)
{"formula": "ZrGeTeSe3", "functional": "PBE-GGA", "state": "relaxed", "total_magnetization_mub_per_fu": 0.00, "polymorph_energy_mev_per_atom": 21, "space_group": "No. 36", "lattice_angstrom": [[1.923, -8.418, 0.000], [1.923, 8.418, 0.000], [0.000, 0.000, 10.616]], "species": ["Zr", "Zr", "Ge", "Ge", "Te", "Te", "Se", "Se", "Se", "Se", "Se", "Se"], "fractional_positions": [[0.154, 0.846, 0.500], [0.846, 0.154, 0.000], [0.273, 0.727, 0.304], [0.727, 0.273, 0.804], [0.117, 0.883, 0.784], [0.883, 0.117, 0.284], [0.235, 0.765, 0.075], [0.396, 0.604, 0.826], [0.463, 0.537, 0.024], [0.537, 0.463, 0.524], [0.604, 0.396, 0.326], [0.765, 0.235, 0.575]]}

(18)
{"formula": "NdScHg6", "functional": "PBE-GGA", "state": "relaxed", "total_magnetization_mub_per_fu": 0.01, "space_group": "No. 187", "formation_enthalpy_0k_mev_per_atom": -293.5, "lattice_angstrom": [[6.597, 0.000, 0.000], [-3.298, 5.713, 0.000], [0.000, 0.000, 4.977]], "species": ["Nd", "Sc", "Hg", "Hg", "Hg", "Hg", "Hg", "Hg"], "fractional_positions": [[0.000, 0.000, 0.000], [0.667, 0.333, 0.500], [0.172, 0.343, 0.500], [0.172, 0.828, 0.500], [0.505, 0.010, 0.000], [0.505, 0.495, 0.000], [0.657, 0.828, 0.500], [0.990, 0.495, 0.000]]}

(19)
{"formula": "CsYPu", "functional": "PBE-GGA", "state": "relaxed", "total_magnetization_mub_per_fu": 8.59, "polymorph_energy_mev_per_atom": 0, "space_group": "No. 216", "lattice_angstrom": [[8.379, 0.000, 0.000], [0.000, 8.379, 0.000], [0.000, 0.000, 8.379]], "species": ["Cs", "Cs", "Cs", "Cs", "Y", "Y", "Y", "Y", "Pu", "Pu", "Pu", "Pu"], "fractional_positions": [[0.000, 0.000, 0.000], [0.000, 0.500, 0.500], [0.500, 0.000, 0.500], [0.500, 0.500, 0.000], [0.250, 0.250, 0.250], [0.250, 0.750, 0.750], [0.750, 0.250, 0.750], [0.750, 0.750, 0.250], [0.000, 0.000, 0.500], [0.000, 0.500, 0.000], [0.500, 0.000, 0.000], [0.500, 0.500, 0.500]]}

(20)
{"formula": "YCuPdPb", "functional": "PBE-GGA", "state": "relaxed", "total_magnetization_mub_per_fu": 0.00, "polymorph_energy_mev_per_atom": 0, "space_group": "No. 216", "lattice_angstrom": [[6.840, 0.000, 0.000], [0.000, 6.840, 0.000], [0.000, 0.000, 6.840]], "species": ["Y", "Y", "Y", "Y", "Cu", "Cu", "Cu", "Cu", "Pd", "Pd", "Pd", "Pd", "Pb", "Pb", "Pb", "Pb"], "fractional_positions": [[0.000, 0.000, 0.000], [0.000, 0.500, 0.500], [0.500, 0.000, 0.500], [0.500, 0.500, 0.000], [0.250, 0.250, 0.250], [0.250, 0.750, 0.750], [0.750, 0.250, 0.750], [0.750, 0.750, 0.250], [0.250, 0.250, 0.750], [0.250, 0.750, 0.250], [0.750, 0.250, 0.250], [0.750, 0.750, 0.750], [0.000, 0.000, 0.500], [0.000, 0.500, 0.000], [0.500, 0.000, 0.000], [0.500, 0.500, 0.500]]}